No. 1
First-principles (PBEsol) data for a relaxed Tc3Se4I crystal, as listed in the Alexandria database.

Output
The value obtained for the uncorrected formation energy is -545 meV/atom. The density comes out at 6.0 g/cm³.

a = 6.529 Å, b = 11.873 Å, c = 11.402 Å
α = 90.00°, β = 113.63°, γ = 90.00°
Space group P2_1/c (No. 14)
One atom of each set of equivalent atoms:
Tc (0.035, 0.059, 0.157) x4
Tc (0.035, 0.144, 0.948) x4
Tc (0.302, 0.522, 0.558) x4
Se (0.225, 0.712, 0.459) x4
Se (0.273, 0.065, 0.843) x4
Se (0.291, 0.602, 0.757) x4
Se (0.358, 0.168, 0.157) x4
I (0.108, 0.134, 0.400) x4

***

No. 2
First-principles (PBEsol) data for a relaxed CuTc2Br crystal, as listed in the Alexandria database.

Output
For the excess energy over the best structure of this formula in the dataset, the calculation gives 0 meV per atom. The value obtained for the uncorrected formation energy is 634 meV/atom. The density comes out at 9.2 g/cm³. As for the density of states at the Fermi level: 6.38 states/eV per cell.

a = 2.904 Å, b = 4.719 Å, c = 8.943 Å
α = 90.00°, β = 90.00°, γ = 90.00°
Space group Cmm2 (No. 35)
One atom of each set of equivalent atoms:
Cu (0.000, 0.000, 0.000) x2
Tc (0.000, 0.000, 0.466) x2
Tc (0.000, 0.500, 0.239) x2
Br (0.000, 0.500, 0.742) x2

***

No. 3
First-principles (PBEsol) data for a relaxed CaSn2BPt crystal, as listed in the Alexandria database.

Output
The density comes out at 5.2 g/cm³. The formation energy is 1805.6 meV per atom. As for the density of states at the Fermi level: 3.31 states/eV per cell.

a = 5.614 Å, b = 5.614 Å, c = 4.856 Å
α = 90.00°, β = 90.00°, γ = 90.00°
Space group P4/mmm (No. 123)
One atom of each set of equivalent atoms:
Ca (0.000, 0.000, 0.000) x1
Sn (0.000, 0.500, 0.000) x2
B (0.500, 0.500, 0.500) x1
Pt (0.000, 0.000, 0.500) x1

***

No. 4
First-principles (PBEsol) data for a relaxed Tm2NiRu crystal, as listed in the Alexandria database.

Output
The density comes out at 11.6 g/cm³. The formation energy is -444.4 meV per atom. As for the density of states at the Fermi level: 8.44 states/eV per cell.

a = 6.576 Å, b = 6.576 Å, c = 6.576 Å
α = 90.00°, β = 90.00°, γ = 90.00°
Space group Fm-3m (No. 225)
One atom of each set of equivalent atoms:
Tm (0.250, 0.250, 0.250) x8
Ni (0.000, 0.000, 0.000) x4
Ru (0.000, 0.000, 0.500) x4

***

No. 5
First-principles (PBEsol) data for a relaxed CrNiIr crystal, as listed in the Alexandria database.

Output
The density comes out at 14.1 g/cm³. The formation energy is -122.7 meV per atom. As for the density of states at the Fermi level: 7.10 states/eV per cell.

a = 2.610 Å, b = 3.575 Å, c = 7.672 Å
α = 90.00°, β = 90.00°, γ = 90.00°
Space group Imm2 (No. 44)
One atom of each set of equivalent atoms:
Cr (0.000, 0.000, 0.000) x2
Ni (0.000, 0.000, 0.336) x2
Ir (0.000, 0.000, 0.665) x2

***

No. 6
First-principles (PBEsol) data for a relaxed FeCo2 crystal, as listed in the Alexandria database.

Output
The density comes out at 7.5 g/cm³. The formation energy is 667.7 meV per atom. As for the density of states at the Fermi level: 4.02 states/eV per cell.

a = 3.866 Å, b = 3.866 Å, c = 2.560 Å
α = 90.00°, β = 90.00°, γ = 90.00°
Space group P4/mmm (No. 123)
One atom of each set of equivalent atoms:
Fe (0.000, 0.000, 0.000) x1
Co (0.000, 0.500, 0.500) x2

***

No. 7
First-principles (PBEsol) data for a relaxed LiNiP3O9 crystal, as listed in the Alexandria database.

Output
For the excess energy over the best structure of this formula in the dataset, the calculation gives 0 meV per atom. The value obtained for the uncorrected formation energy is -1998 meV/atom. The density comes out at 3.3 g/cm³.

a = 8.340 Å, b = 8.415 Å, c = 8.691 Å
α = 90.00°, β = 90.00°, γ = 90.00°
Space group P2_12_12_1 (No. 19)
One atom of each set of equivalent atoms:
Li (0.131, 0.147, 0.158) x4
Ni (0.152, 0.870, 0.385) x4
P (0.026, 0.681, 0.676) x4
P (0.187, 0.528, 0.191) x4
P (0.202, 0.184, 0.566) x4
O (0.041, 0.229, 0.658) x4
O (0.087, 0.389, 0.141) x4
O (0.110, 0.126, 0.923) x4
O (0.129, 0.629, 0.323) x4
O (0.130, 0.812, 0.614) x4
O (0.137, 0.535, 0.729) x4
O (0.158, 0.120, 0.410) x4
O (0.189, 0.916, 0.164) x4
O (0.223, 0.642, 0.044) x4

***

No. 8
First-principles (PBEsol) data for a relaxed Te2AuCl crystal, as listed in the Alexandria database.

Output
The value obtained for the uncorrected formation energy is -243 meV/atom. The density comes out at 7.4 g/cm³. As for the density of states at the Fermi level: 0.40 states/eV per cell.

a = 12.216 Å, b = 3.999 Å, c = 4.727 Å
α = 90.00°, β = 107.51°, γ = 90.00°
Space group Cm (No. 8)
One atom of each set of equivalent atoms:
Te (0.000, 0.000, 0.000) x2
Te (0.185, 0.000, 0.743) x2
Au (0.093, 0.500, 0.372) x2
Cl (0.326, 0.500, 0.266) x2